[1]
A geometry-optimized TiGeAs2Br structure, computed with PBE.

Unit cell a=4.9657 b=4.9657 c=4.9969 alpha=90.00 beta=90.00 gamma=90.00
Element x y z (fractional)
1 Ti 0.0000 0.0000 0.0000
2 Ge 0.5000 0.5000 0.5000
3 As 0.0000 0.5000 0.0000
4 As 0.5000 0.0000 0.0000
5 Br 0.0000 0.0000 0.5000

Values from the calculation:
Its electronic total energy is -0.335 Ry/atom. The formation energy without anion corrections comes out at 145 meV per atom. The space group is P4/mmm (123). Its spin magnetization is 0.00 μB per atom. The calculation puts the energy above the most stable polymorph in this dataset at 0 meV/atom.

[2]
A geometry-optimized KGe structure, computed with PBE.

Unit cell a=8.1076 b=8.1076 c=8.1076 alpha=90.00 beta=90.00 gamma=90.00
Element x y z (fractional)
1 K 0.0000 0.0000 0.0000
2 K 0.0000 0.5000 0.5000
3 K 0.5000 0.0000 0.5000
4 K 0.5000 0.5000 0.0000
5 Ge 0.2500 0.2500 0.7500
6 Ge 0.2500 0.7500 0.2500
7 Ge 0.7500 0.2500 0.2500
8 Ge 0.7500 0.7500 0.7500

Values from the calculation:
Its electronic total energy is -0.142 Ry/atom. The energy relative to the elements comes out at 21.31 kcal/mol of atoms. The space group is F-43m (216). Its spin magnetization is 1.50 μB per atom. The calculation puts the energy above the most stable polymorph in this dataset at 1137 meV/atom.